The following is a GGA+U calculation of crystalline ZnCoPHO5 at its relaxed geometry, from Alexandria.

Geometry as extended XYZ:
```
18
Lattice="5.294 -0.006 -0.026 -0.343 5.615 0.010 -1.300 -0.635 7.427" Properties=species:S:1:pos:R:3 pbc="T T T"
Zn 2.350 0.765 4.692
Zn 1.301 4.209 2.720
Co 0.000 0.000 0.000
Co -0.171 2.808 0.005
P 2.571 1.545 1.615
P 1.080 3.429 5.797
H -0.535 1.038 5.414
H 4.186 3.936 1.997
O 0.950 2.061 5.070
O 2.701 2.913 2.342
O 3.909 0.781 5.827
O -0.258 4.193 1.585
O 1.233 1.461 0.841
O 2.418 3.513 6.571
O 2.578 0.415 2.716
O 1.073 4.559 4.696
O 3.782 1.343 0.683
O -0.132 3.631 6.729
```

Output
Total magnetic moment, μB/cell: 6.00
Energy, Ha/atom: -0.22492
Space-group type: No. 2